The following is a DFT calculation (PBE) of Cs3Tl8 after structural relaxation.

Output
- Volume: 42.5 A^3/atom
- Crystal system: orthorhombic
- ρ: 7.22 Mg/m³
- VASP energy: -1.996 eV/atom
- Space-group type: Immm, No. 71

Unit cell a=5.2917 b=5.4547 c=16.6397 alpha=99.43 beta=99.15 gamma=90.00
Closest atoms and distances in Å follow each position.
Atoms (fractional coordinates):
1 Tl 0.4038 0.9038 0.8076  3 Tl 3.11-3.18
2 Cs 0.1501 0.6501 0.3002  14 Tl 4.06-4.26
3 Tl 0.7488 0.7488 0.4977  4 Tl 3.22-3.25
4 Tl 0.5962 0.0962 0.1924  3 Tl 3.11-3.18
5 Cs 0.8499 0.3499 0.6998  14 Tl 4.06-4.26
6 Tl 0.3056 0.8056 0.6112  5 Tl 3.18-3.25
7 Tl 0.5498 0.5498 0.0996  3 Tl 3.11-3.23
8 Cs 0.0000 0.0000 0.0000  12 Tl 4.09-4.13
9 Tl 0.4502 0.4502 0.9004  3 Tl 3.11-3.23
10 Tl 0.6944 0.1944 0.3888  5 Tl 3.18-3.25
11 Tl 0.2512 0.2512 0.5023  4 Tl 3.22-3.25